# Na4In5Ge2

An optimized crystal structure of Na4In5Ge2 (PBE, Alexandria).

The formation enthalpy at 0 K comes out at -45 meV per atom. The calculation puts the density of states at the Fermi level at 4.9 states/eV per cell.

It has space group P2/m (No. 10), with a = 7.969 Å, b = 3.394 Å, c = 10.269 Å, α = 90.00°, β = 94.27° and γ = 90.00°. The asymmetric unit holds Na at (0.158, 0.000, 0.382), Na at (0.278, 0.000, 0.947), In at (0.193, 0.500, 0.672), In at (0.423, 0.500, 0.205), In at (0.500, 0.500, 0.500) and Ge at (0.053, 0.500, 0.124).

=====

# SmEuGa2

An optimized crystal structure of SmEuGa2 (PBE, Alexandria).

The formation enthalpy at 0 K comes out at -486 meV per atom. The calculation puts the density of states at the Fermi level at 26.6 states/eV per cell. The calculation puts the energy relative to the lowest polymorph listed for this composition at 27 meV per atom.

It has space group Fm-3m (No. 225), with a = 7.394 Å, b = 7.394 Å, c = 7.394 Å, α = 90.00°, β = 90.00° and γ = 90.00°. The asymmetric unit holds Sm at (0.000, 0.000, 0.000), Eu at (0.000, 0.000, 0.500) and Ga at (0.250, 0.250, 0.250).

=====

# RbTl2Ge

An optimized crystal structure of RbTl2Ge (PBE, Alexandria).

The formation enthalpy at 0 K comes out at 129 meV per atom. The calculation puts the density of states at the Fermi level at 9.8 states/eV per cell. The calculation puts the energy relative to the lowest polymorph listed for this composition at 128 meV per atom.

It has space group Fm-3m (No. 225), with a = 7.929 Å, b = 7.929 Å, c = 7.929 Å, α = 90.00°, β = 90.00° and γ = 90.00°. The asymmetric unit holds Rb at (0.000, 0.000, 0.000), Tl at (0.250, 0.250, 0.250) and Ge at (0.000, 0.000, 0.500).

=====

# Hg2WSe

An optimized crystal structure of Hg2WSe (PBE, Alexandria).

The calculation puts the density of states at the Fermi level at 4.0 states/eV per cell. The formation energy without anion corrections comes out at 307 meV per atom.

It has space group Cm (No. 8), with a = 8.892 Å, b = 3.109 Å, c = 8.558 Å, α = 90.00°, β = 121.23° and γ = 90.00°. The asymmetric unit holds Hg at (0.000, 0.000, 0.000), Hg at (0.170, 0.500, 0.339), W at (0.384, 0.000, 0.669) and Se at (0.097, 0.000, 0.669).

=====

# Tb5Sb2Ru

An optimized crystal structure of Tb5Sb2Ru (PBE, Alexandria).

The calculation puts the density of states at the Fermi level at 26.0 states/eV per cell. The formation energy without anion corrections comes out at -430 meV per atom.

It has space group Cmcm (No. 63), with a = 5.772 Å, b = 9.237 Å, c = 16.126 Å, α = 90.00°, β = 90.00° and γ = 90.00°. The asymmetric unit holds Tb at (0.000, 0.059, 0.095), Tb at (0.000, 0.258, 0.750), Tb at (0.000, 0.394, 0.139), Sb at (0.000, 0.287, 0.557) and Ru at (0.000, 0.094, 0.250).

=====

# ErPu2Sc

An optimized crystal structure of ErPu2Sc (PBE, Alexandria).

The formation enthalpy at 0 K comes out at 160 meV per atom. The calculation puts the density of states at the Fermi level at 14.1 states/eV per cell. The calculation puts the energy relative to the lowest polymorph listed for this composition at 0 meV per atom.

It has space group P4/mmm (No. 123), with a = 3.300 Å, b = 3.300 Å, c = 9.829 Å, α = 90.00°, β = 90.00° and γ = 90.00°. The asymmetric unit holds Er at (0.000, 0.000, 0.000), Pu at (0.500, 0.500, 0.260) and Sc at (0.000, 0.000, 0.500).